--- w ---
4
Lattice="1.5956 -2.3655 0.0000 1.5956 2.3655 0.0000 0.0000 0.0000 10.8813" Properties=species:S:1:pos:R:3 comment="KZrRe2 | Alexandria | PBE | optimized geometry" magnetic_moment_mub_per_cell=0.0 dos_ef_per_ev_atom=0.863 pbc="T T T"
K 0.0000 0.0000 0.0000
Zr 1.5956 0.0000 3.5757
Re 0.0000 0.0000 5.8966
Re 1.5956 0.0000 7.9397

***

--- x ---
4
Lattice="2.9292 0.0000 0.0000 0.0000 3.9158 0.0000 0.0000 0.0000 8.7929" Properties=species:S:1:pos:R:3 comment="KZrRe2 | Alexandria | PBE | optimized geometry" magnetic_moment_mub_per_cell=0.0 dos_ef_per_ev_atom=0.898 pbc="T T T"
K 0.0000 0.0000 0.0000
Zr 1.4646 1.9579 5.3397
Re 0.0000 0.0000 3.7048
Re 1.4646 1.9579 2.7411

***

--- y ---
4
Lattice="2.8219 0.0000 0.0000 0.0000 4.7032 0.0000 -1.1549 0.0000 7.5151" Properties=species:S:1:pos:R:3 comment="KZrRe2 | Alexandria | PBE | optimized geometry" magnetic_moment_mub_per_cell=0.0 dos_ef_per_ev_atom=0.788 pbc="T T T"
K 0.0000 0.0000 0.0000
Zr -0.5774 0.0000 3.7576
Re 0.8409 2.3516 2.6166
Re 0.8261 2.3516 4.8985

***

Name the least stable of them. y.